1.
GdGeTeO | PBE | optimized geometry

Structure (POSCAR):
```
GdGeTeO
1.0
-5.433 0.000 0.000
2.717 -4.705 0.000
2.717 1.568 8.322
Gd Ge O Te
2 2 2 2
direct
0.528 0.764 0.293
0.472 0.236 0.707
0.780 0.390 0.169
0.220 0.610 0.831
0.361 0.680 0.041
0.639 0.320 0.959
0.211 0.105 0.316
0.789 0.895 0.684
```

Energy above the lowest structure with this stoichiometry ... 0 meV/atom
E_tot ... -0.20214 hartree per atom


2.
Ho4Ga12Au | PBE | optimized geometry

Structure (POSCAR):
```
Ho4Ga12Au
1.0
-4.328 4.328 4.328
4.328 -4.328 4.328
4.328 4.328 -4.328
Au Ga Ho
1 12 4
direct
0.000 0.000 0.000
0.304 0.304 0.000
0.696 0.696 0.000
0.750 0.500 0.250
0.500 0.750 0.250
0.304 0.000 0.304
0.000 0.304 0.304
0.750 0.250 0.500
0.250 0.750 0.500
0.696 0.000 0.696
0.000 0.696 0.696
0.500 0.250 0.750
0.250 0.500 0.750
0.500 0.000 0.000
0.000 0.500 0.000
0.000 0.000 0.500
0.500 0.500 0.500
```

E_tot ... -0.14496 hartree per atom


3.
Na2LiPdCl6 | PBE | optimized geometry

Structure (POSCAR):
```
Na2LiPdCl6
1.0
-5.769 0.972 3.565
-2.864 6.218 0.252
-5.895 1.192 -3.281
Cl Li Na Pd
6 1 2 1
direct
0.747 0.253 0.253
0.253 0.747 0.253
0.747 0.747 0.253
0.253 0.253 0.747
0.747 0.253 0.747
0.253 0.747 0.747
0.000 0.000 0.000
0.250 0.250 0.250
0.750 0.750 0.750
0.500 0.500 0.500
```

E_tot ... -0.11708 hartree per atom


4.
HfZrTa2Sn2 | PBE | optimized geometry

Structure (POSCAR):
```
HfZrTa2Sn2
1.0
-2.033 2.033 7.671
2.033 -2.033 7.671
2.033 2.033 -7.671
Hf Sn Ta Zr
1 2 2 1
direct
0.332 0.332 0.000
0.139 0.139 0.000
0.861 0.861 0.000
0.999 0.499 0.500
0.499 0.999 0.500
0.670 0.670 0.000
```

E_tot ... -0.31809 hartree per atom


5.
CoTcNiSb | PBE | optimized geometry

Structure (POSCAR):
```
CoTcNiSb
1.0
0.000 3.037 3.037
3.037 0.000 3.037
3.037 3.037 0.000
Co Ni Sb Tc
1 1 1 1
direct
0.750 0.750 0.750
0.500 0.500 0.500
0.000 0.000 0.000
0.250 0.250 0.250
```

Energy above the lowest structure with this stoichiometry ... 0 meV/atom
E_tot ... -0.24427 hartree per atom


6.
LuFeGe2 | PBE | optimized geometry

Structure (POSCAR):
```
LuFeGe2
1.0
0.347 -4.569 -0.478
-0.051 -2.715 3.721
-3.646 -2.687 0.841
Fe Ge Lu
1 2 1
direct
0.500 0.500 0.500
0.000 0.000 0.000
0.750 0.750 0.750
0.250 0.250 0.250
```

E_tot ... -0.20098 hartree per atom


7.
Er2Co17 | PBE | optimized geometry

Structure (POSCAR):
```
Er2Co17
1.0
4.118 2.377 4.005
-4.118 2.377 4.005
0.000 -4.755 4.005
Co Er
17 2
direct
0.500 0.000 0.000
0.710 0.290 0.000
0.000 0.500 0.000
0.290 0.710 0.000
0.097 0.097 0.097
0.653 0.653 0.151
0.710 0.000 0.290
0.000 0.710 0.290
0.849 0.347 0.347
0.347 0.849 0.347
0.000 0.000 0.500
0.653 0.151 0.653
0.151 0.653 0.653
0.290 0.000 0.710
0.000 0.290 0.710
0.347 0.347 0.849
0.903 0.903 0.903
0.344 0.344 0.344
0.656 0.656 0.656
```

Energy above the lowest structure with this stoichiometry ... 0 meV/atom
Energy of formation ... -106.2 meV per atom
E_tot ... -0.25522 hartree per atom


8.
Ta2As3W4N3 | PBE | optimized geometry

Structure (POSCAR):
```
Ta2As3W4N3
1.0
4.927 -2.777 0.000
4.927 2.777 0.000
-4.275 0.000 12.150
As N Ta W
6 6 4 8
direct
0.799 0.561 0.240
0.090 0.910 0.250
0.439 0.201 0.260
0.561 0.799 0.740
0.910 0.090 0.750
0.201 0.439 0.760
0.000 0.500 0.000
0.351 0.759 0.032
0.241 0.649 0.468
0.500 0.000 0.500
0.759 0.351 0.532
0.649 0.241 0.968
0.397 0.450 0.109
0.550 0.603 0.391
0.450 0.397 0.609
0.603 0.550 0.891
0.042 0.176 0.081
0.691 0.863 0.094
0.137 0.309 0.406
0.824 0.958 0.419
0.176 0.042 0.581
0.863 0.691 0.594
0.309 0.137 0.906
0.958 0.824 0.919
```

E_tot ... -0.35309 hartree per atom


9.
TbTm2CuSn3Ir2 | PBE | optimized geometry

Structure (POSCAR):
```
TbTm2CuSn3Ir2
1.0
3.836 0.000 0.000
0.000 6.529 3.751
0.000 -6.529 3.751
Cu Ir Sn Tb Tm
1 2 3 1 2
direct
0.000 0.999 0.999
0.500 0.670 0.332
0.500 0.332 0.670
0.500 0.999 0.262
0.500 0.739 0.739
0.500 0.262 0.999
0.000 0.404 0.404
0.000 0.596 0.000
0.000 0.000 0.596
```

E_tot ... -0.21871 hartree per atom


10.
Cu2Ag3 | PBE | optimized geometry

Structure (POSCAR):
```
Cu2Ag3
1.0
-7.492 6.587 0.107
4.480 -8.782 -1.530
-0.935 -1.124 3.712
Ag Cu
6 4
direct
0.694 0.306 0.000
0.306 0.694 0.000
0.806 0.194 0.500
0.590 0.410 0.500
0.410 0.590 0.500
0.194 0.806 0.500
0.914 0.086 0.000
0.500 0.500 0.000
0.086 0.914 0.000
0.000 0.000 0.500
```

Energy above the lowest structure with this stoichiometry ... 39 meV/atom
Energy of formation ... 71.2 meV per atom
E_tot ... -0.11430 hartree per atom


11.
Tm3P2N | PBE | optimized geometry

Structure (POSCAR):
```
Tm3P2N
1.0
-0.020 2.600 2.668
-0.941 -3.511 0.814
8.953 -1.944 1.961
N P Tm
1 2 3
direct
0.000 0.000 0.000
0.333 0.667 0.321
0.667 0.333 0.679
0.667 0.333 0.141
0.000 0.000 0.500
0.333 0.667 0.859
```

E_tot ... -0.25574 hartree per atom


12.
BaLiBiPd | PBE | optimized geometry

Structure (POSCAR):
```
BaLiBiPd
1.0
0.000 3.841 3.841
3.841 0.000 3.841
3.841 3.841 0.000
Ba Bi Li Pd
1 1 1 1
direct
0.250 0.250 0.250
0.000 0.000 0.000
0.750 0.750 0.750
0.500 0.500 0.500
```

Energy above the lowest structure with this stoichiometry ... 237 meV/atom
E_tot ... -0.13100 hartree per atom


13.
Ta2Re2O5 | PBE | optimized geometry

Structure (POSCAR):
```
Ta2Re2O5
1.0
-0.971 6.957 -3.926
-3.143 0.381 1.452
1.442 1.709 2.672
O Re Ta
5 2 2
direct
0.325 0.500 0.000
0.675 0.500 0.000
0.325 0.000 0.500
0.675 0.000 0.500
0.500 0.500 0.500
0.000 0.000 0.000
0.500 0.000 0.000
0.195 0.500 0.500
0.805 0.500 0.500
```

Energy above the lowest structure with this stoichiometry ... 155 meV/atom
E_tot ... -0.32576 hartree per atom


14.
K2SnAu2O4 | PBE | optimized geometry

Structure (POSCAR):
```
K2SnAu2O4
1.0
-6.539 0.671 -0.326
-3.712 -6.306 -0.529
-2.904 -3.010 7.347
Au K O Sn
4 4 8 2
direct
0.447 0.293 0.176
0.739 0.313 0.435
0.261 0.687 0.565
0.553 0.707 0.824
0.002 0.256 0.053
0.798 0.782 0.398
0.202 0.218 0.602
0.998 0.744 0.947
0.677 0.072 0.064
0.721 0.573 0.209
0.221 0.534 0.264
0.228 0.927 0.326
0.772 0.073 0.674
0.779 0.466 0.736
0.279 0.427 0.791
0.323 0.928 0.936
0.394 0.735 0.183
0.606 0.265 0.817
```

E_tot ... -0.17083 hartree per atom


15.
BaIrAuSe3 | PBE | optimized geometry

Structure (POSCAR):
```
BaIrAuSe3
1.0
-3.376 1.641 6.814
-0.381 -0.538 -7.751
-3.102 -9.861 0.838
Au Ba Ir Se
2 2 2 6
direct
0.385 0.615 0.250
0.615 0.385 0.750
0.718 0.282 0.250
0.282 0.718 0.750
0.000 0.000 0.000
0.000 0.000 0.500
0.396 0.604 0.015
0.050 0.950 0.250
0.396 0.604 0.485
0.604 0.396 0.515
0.950 0.050 0.750
0.604 0.396 0.985
```

E_tot ... -0.17060 hartree per atom


16.
SmErSc6 | PBE | optimized geometry

Structure (POSCAR):
```
SmErSc6
1.0
5.283 0.000 0.000
0.000 3.370 5.833
0.000 -3.370 5.833
Er Sc Sm
1 6 1
direct
0.000 0.084 0.084
0.000 0.588 0.076
0.500 0.912 0.423
0.000 0.586 0.586
0.000 0.076 0.588
0.500 0.423 0.912
0.500 0.914 0.914
0.500 0.416 0.416
```

Energy of formation ... 23.1 meV per atom
E_tot ... -0.21618 hartree per atom


17.
Sm2Al3Ga3 | PBE | optimized geometry

Structure (POSCAR):
```
Sm2Al3Ga3
1.0
-2.520 5.930 0.268
-2.846 -4.858 3.145
2.500 0.897 3.648
Al Ga Sm
3 3 2
direct
0.381 0.191 0.500
0.809 0.191 0.500
0.809 0.619 0.500
0.522 0.044 0.000
0.522 0.478 0.000
0.956 0.478 0.000
0.000 0.000 0.000
0.333 0.667 0.500
```

Energy above the lowest structure with this stoichiometry ... 0 meV/atom
E_tot ... -0.15558 hartree per atom


18.
CsCuOs | PBE | optimized geometry

Structure (POSCAR):
```
CsCuOs
1.0
3.873 -2.740 1.117
-0.016 -4.768 -1.008
2.850 -1.751 -3.545
Cs Cu Os
1 1 1
direct
0.250 0.250 0.250
0.000 0.000 0.000
0.750 0.750 0.750
```

Energy above the lowest structure with this stoichiometry ... 32 meV/atom
E_tot ... -0.11499 hartree per atom


19.
NaZrCoPb | PBE | optimized geometry

Structure (POSCAR):
```
NaZrCoPb
1.0
0.116 -4.625 1.362
-1.580 -1.266 4.378
-4.109 -2.484 0.456
Co Na Pb Zr
1 1 1 1
direct
0.000 0.000 0.000
0.750 0.750 0.750
0.500 0.500 0.500
0.250 0.250 0.250
```

Energy above the lowest structure with this stoichiometry ... 168 meV/atom
E_tot ... -0.17886 hartree per atom


20.
NaAgMoS3 | PBE | optimized geometry

Structure (POSCAR):
```
NaAgMoS3
1.0
-4.700 4.027 -3.314
-4.905 0.961 -4.931
-6.974 -2.895 6.374
Ag Mo Na S
2 2 2 6
direct
0.424 0.424 0.250
0.576 0.576 0.750
0.000 0.000 0.000
0.000 0.000 0.500
0.733 0.733 0.250
0.267 0.267 0.750
0.369 0.369 0.019
0.065 0.065 0.250
0.369 0.369 0.481
0.631 0.631 0.519
0.935 0.935 0.750
0.631 0.631 0.981
```

E_tot ... -0.18152 hartree per atom


21.
AlCoRe | PBE | optimized geometry

Structure (POSCAR):
```
AlCoRe
1.0
0.000 2.860 2.860
2.860 0.000 2.860
2.860 2.860 0.000
Al Co Re
1 1 1
direct
0.250 0.250 0.250
0.750 0.750 0.750
0.000 0.000 0.000
```

Energy above the lowest structure with this stoichiometry ... 0 meV/atom
E_tot ... -0.26460 hartree per atom


22.
SrLiCoMo | PBE | optimized geometry

Structure (POSCAR):
```
SrLiCoMo
1.0
2.384 -3.661 -1.509
-1.752 -4.252 0.468
-1.447 -2.326 -3.723
Co Li Mo Sr
1 1 1 1
direct
0.250 0.250 0.250
0.750 0.750 0.750
0.000 0.000 0.000
0.500 0.500 0.500
```

Energy above the lowest structure with this stoichiometry ... 11 meV/atom
E_tot ... -0.16575 hartree per atom


23.
PrSmGa2Br2 | PBE | optimized geometry

Structure (POSCAR):
```
PrSmGa2Br2
1.0
4.229 0.000 0.000
-2.114 3.662 0.000
0.000 0.000 11.529
Br Ga Pr Sm
2 2 1 1
direct
0.333 0.667 0.157
0.667 0.333 0.838
0.667 0.333 0.476
0.333 0.667 0.530
0.000 0.000 0.317
0.000 0.000 0.683
```

E_tot ... -0.16197 hartree per atom